Below is Ca2YIr after structural relaxation, with properties calculated at the PBE level.

- volume (A^3/atom) = 25.17
- size of the total moment (μB/cell) = 0.00
- SG = I4/mmm, No. 139
- relative energy among the computed polymorphs (eV/atom) = 0.285

Cell and atoms, written as extended XYZ:
```
4
Lattice="6.176 0.000 0.000 3.137 5.321 0.000 -4.657 -2.660 3.064" Properties=species:S:1:pos:R:3 pbc="T T T"
Ca 4.657 2.660 0.000
Y 3.088 0.000 1.532
Ir 1.568 2.660 1.532
Ca 0.000 0.000 0.000
```



Below is Ca2V2N after structural relaxation, with properties calculated at the PBE level.

- volume (A^3/atom) = 22.84
- size of the total moment (μB/cell) = 0.89
- SG = P4/mbm, No. 127
- raw formation energy (eV/atom) = 0.753
- relative energy among the computed polymorphs (eV/atom) = 0.516

Cell and atoms, written as extended XYZ:
```
10
Lattice="-1.202 -6.232 -0.562 6.166 -1.083 -1.186 0.940 -0.678 5.505" Properties=species:S:1:pos:R:3 pbc="T T T"
V 0.623 -2.928 2.408
Ca 4.611 -2.794 -1.131
V 1.842 -6.363 1.777
N 2.482 -3.657 -0.874
Ca 0.352 -4.521 -0.617
N 0.000 0.000 0.000
V 4.061 -1.629 1.981
Ca 3.296 -5.784 -1.275
Ca 1.668 -1.530 -0.473
V 5.280 -5.064 1.350
```



Below is Zn2InSe after structural relaxation, with properties calculated at the PBE level.

- volume (A^3/atom) = 23.06
- size of the total moment (μB/cell) = 0.00
- SG = P4mm, No. 99
- raw formation energy (eV/atom) = -0.077
- relative energy among the computed polymorphs (eV/atom) = 0.044

Cell and atoms, written as extended XYZ:
```
4
Lattice="-0.409 0.292 3.429 -3.441 -0.042 -0.407 0.016 -7.653 0.653" Properties=species:S:1:pos:R:3 pbc="T T T"
Zn -1.921 -1.869 1.681
Se -1.911 -7.080 2.126
Zn 0.013 -6.288 0.537
In 0.007 -3.644 0.311
```



Below is KPaCoN3 after structural relaxation, with properties calculated at the PBE level.

- volume (A^3/atom) = 17.93
- size of the total moment (μB/cell) = 0.00
- SG = P2_1/m, No. 11
- raw formation energy (eV/atom) = -0.737

Cell and atoms, written as extended XYZ:
```
12
Lattice="3.531 0.000 0.000 0.000 7.722 0.832 0.000 -2.853 7.581" Properties=species:S:1:pos:R:3 pbc="T T T"
Pa 0.883 4.605 1.777
K 2.648 4.072 6.714
Co 2.648 6.047 3.842
N 0.883 1.636 7.069
N 2.648 3.234 1.344
N 2.648 -0.457 4.357
N 0.883 -1.157 6.451
Pa 2.648 0.265 6.636
N 0.883 5.327 4.056
K 0.883 0.798 1.698
N 2.648 6.026 1.962
Co 0.883 -1.178 4.571
```



Below is Si3Tc after structural relaxation, with properties calculated at the PBE level.

- volume (A^3/atom) = 14.55
- size of the total moment (μB/cell) = 0.00
- SG = P-6m2, No. 187
- raw formation energy (eV/atom) = 0.082
- relative energy among the computed polymorphs (eV/atom) = 0.266

Cell and atoms, written as extended XYZ:
```
4
Lattice="2.992 0.000 0.000 -1.496 2.591 0.000 0.000 0.000 7.504" Properties=species:S:1:pos:R:3 pbc="T T T"
Si 1.496 0.864 1.876
Si 0.000 0.000 3.844
Si 0.000 0.000 7.412
Tc 1.496 0.864 5.628
```



Below is NiAu4 after structural relaxation, with properties calculated at the PBE level.

- volume (A^3/atom) = 19.66
- size of the total moment (μB/cell) = 0.80
- SG = I4/mmm, No. 139
- VASP energy (eV for the cell shown) = -16.74

Cell and atoms, written as extended XYZ:
```
5
Lattice="-1.872 1.872 7.009 1.872 -1.872 7.009 1.872 1.872 -7.009" Properties=species:S:1:pos:R:3 pbc="T T T"
Au 0.000 0.000 5.701
Au 0.000 1.872 3.505
Au 1.872 0.000 3.505
Ni 0.000 0.000 0.000
Au 0.000 0.000 8.317
```



Below is BaNa2HgPd after structural relaxation, with properties calculated at the PBE level.

- volume (A^3/atom) = 32.11
- size of the total moment (μB/cell) = 0.00
- SG = P4/mmm, No. 123
- relative energy among the computed polymorphs (eV/atom) = 0.000

Cell and atoms, written as extended XYZ:
```
5
Lattice="5.425 0.000 0.000 0.000 5.425 0.000 0.000 0.000 5.455" Properties=species:S:1:pos:R:3 pbc="T T T"
Ba 2.713 2.713 2.727
Hg 0.000 0.000 2.727
Na 0.000 2.713 0.000
Na 2.713 0.000 0.000
Pd 0.000 0.000 0.000
```



Below is GeAsBr2 after structural relaxation, with properties calculated at the PBE level.

- volume (A^3/atom) = 25.62
- size of the total moment (μB/cell) = 0.00
- SG = R-3m, No. 166
- raw formation energy (eV/atom) = 0.174
- relative energy among the computed polymorphs (eV/atom) = 0.000

Cell and atoms, written as extended XYZ:
```
4
Lattice="2.028 0.000 9.585 -1.014 1.757 9.585 -1.014 -1.757 9.585" Properties=species:S:1:pos:R:3 pbc="T T T"
Ge 0.000 0.000 14.378
Br 0.000 0.000 26.106
As 0.000 0.000 0.000
Br 0.000 0.000 2.650
```



Below is CaSmCdGa after structural relaxation, with properties calculated at the PBE level.

- volume (A^3/atom) = 26.12
- size of the total moment (μB/cell) = 0.00
- SG = P4mm, No. 99
- relative energy among the computed polymorphs (eV/atom) = 0.003

Cell and atoms, written as extended XYZ:
```
4
Lattice="-0.021 -3.582 0.735 3.600 0.108 0.631 -1.367 1.554 7.536" Properties=species:S:1:pos:R:3 pbc="T T T"
Ca -0.506 0.575 2.789
Ga 0.956 -0.790 5.275
Sm -1.148 1.306 6.331
Cd 1.641 -1.568 1.500
```



Below is RbCrSe3 after structural relaxation, with properties calculated at the PBE level.

- volume (A^3/atom) = 32.74
- size of the total moment (μB/cell) = 4.12
- SG = C2/c, No. 15
- raw formation energy (eV/atom) = -0.479
- relative energy among the computed polymorphs (eV/atom) = 0.000

Cell and atoms, written as extended XYZ:
```
10
Lattice="-7.404 2.760 -2.980 -6.861 -0.922 4.226 -0.763 5.555 1.815" Properties=species:S:1:pos:R:3 pbc="T T T"
Se -6.932 3.610 4.682
Cr -10.746 1.852 3.178
Rb -5.884 1.318 2.568
Rb -9.143 6.076 0.494
Cr -4.281 5.542 -0.116
Se -8.095 3.784 -1.620
Se -5.875 3.774 -0.225
Se -9.152 3.620 3.287
Se -3.041 0.940 0.200
Se -11.986 6.454 2.862
```



Below is Pm2Zn4Cu3 after structural relaxation, with properties calculated at the PBE level.

- volume (A^3/atom) = 18.07
- size of the total moment (μB/cell) = 0.00
- SG = Cmce, No. 64
- relative energy among the computed polymorphs (eV/atom) = 0.003

Cell and atoms, written as extended XYZ:
```
18
Lattice="-0.863 0.288 -5.692 6.941 -2.749 -1.191 -2.309 -7.088 2.910" Properties=species:S:1:pos:R:3 pbc="T T T"
Cu 3.486 -5.802 -2.281
Pm 3.398 -3.265 -0.680
Zn 2.168 -3.721 -3.435
Pm 0.371 -6.285 -3.292
Cu 3.039 -1.231 -3.441
Cu -0.148 -3.604 -4.538
Zn -2.108 -4.387 -2.821
Zn 5.877 -5.163 -1.152
Cu 0.284 -3.748 -1.692
Zn 1.602 -5.829 -0.537
Zn 0.795 -1.215 -4.560
Zn 2.543 -8.192 -2.259
Pm -1.503 -5.516 -0.051
Cu 3.917 -5.946 0.565
Cu 0.000 0.000 0.000
Pm 5.272 -4.034 -3.921
Zn 1.226 -1.358 -1.714
Zn 2.974 -8.335 0.587
```



Below is KTcHg2 after structural relaxation, with properties calculated at the PBE level.

- volume (A^3/atom) = 23.70
- size of the total moment (μB/cell) = 0.00
- SG = Pmmm, No. 47
- relative energy among the computed polymorphs (eV/atom) = 0.020

Cell and atoms, written as extended XYZ:
```
4
Lattice="4.138 0.000 0.000 0.000 2.940 -0.005 0.000 2.953 7.784" Properties=species:S:1:pos:R:3 pbc="T T T"
Hg 0.000 2.952 7.307
Tc 2.069 4.420 5.834
K 2.069 1.473 1.945
Hg 0.000 2.948 4.367
```



Below is Th4OsRh after structural relaxation, with properties calculated at the PBE level.

- volume (A^3/atom) = 27.38
- size of the total moment (μB/cell) = 0.00
- SG = P2_1/m, No. 11
- VASP energy (eV for the cell shown) = -101.72

Cell and atoms, written as extended XYZ:
```
12
Lattice="-1.457 -2.852 -5.459 -4.795 -3.881 3.308 -4.221 6.958 2.045" Properties=species:S:1:pos:R:3 pbc="T T T"
Th -4.562 -2.333 -1.943
Os -5.722 -0.305 2.458
Th -6.959 -4.273 -0.290
Th -3.333 0.870 -0.107
Rh -8.546 1.763 0.790
Th -7.141 -0.645 0.001
Th -6.153 2.887 -1.829
Th -4.320 -2.663 1.723
Th -5.911 2.558 1.837
Rh -1.928 -1.538 -0.896
Os -4.752 0.530 -2.564
Th -3.515 4.498 0.184
```



Below is Zn2Pd2Se after structural relaxation, with properties calculated at the PBE level.

- volume (A^3/atom) = 16.39
- size of the total moment (μB/cell) = 0.00
- SG = P4/mbm, No. 127
- raw formation energy (eV/atom) = -0.248
- relative energy among the computed polymorphs (eV/atom) = 0.049

Cell and atoms, written as extended XYZ:
```
10
Lattice="7.577 0.000 0.000 0.000 7.577 0.000 0.000 0.000 2.855" Properties=species:S:1:pos:R:3 pbc="T T T"
Pd 4.827 6.538 1.427
Pd 1.039 4.827 1.427
Zn 6.402 4.963 0.000
Zn 2.613 6.402 0.000
Se 0.000 0.000 0.000
Se 3.788 3.788 0.000
Pd 2.749 1.039 1.427
Pd 6.538 2.749 1.427
Zn 1.175 2.613 0.000
Zn 4.963 1.175 0.000
```



Below is PrNdAl after structural relaxation, with properties calculated at the PBE level.

- volume (A^3/atom) = 29.29
- size of the total moment (μB/cell) = 0.00
- SG = P6_3/mmc, No. 194
- relative energy among the computed polymorphs (eV/atom) = 0.000

Cell and atoms, written as extended XYZ:
```
6
Lattice="-2.592 -2.010 4.311 -0.158 -2.643 -4.730 5.678 -3.516 1.775" Properties=species:S:1:pos:R:3 pbc="T T T"
Al 0.449 -3.313 -1.274
Al 2.479 -4.855 2.630
Nd -0.362 -3.101 1.740
Pr 2.839 -1.758 0.887
Pr 0.000 0.000 0.000
Nd 3.290 -5.067 -0.384
```